An optimized crystal structure of PmPr6Al2. Source: Alexandria, functional PBE.

Lattice parameters (Å, degrees): 6.8127 6.8127 12.1733 108.58 108.58 32.78
Closest atoms and distances in Å follow each position.
Sites, in units of the cell vectors:
1 Pm 0.0000 0.0000 0.0000  4 Al 3.21
2 Pr 0.0254 0.0254 0.3252  2 Al 3.21, 3 Pr 3.53-3.58
3 Pr 0.3110 0.3110 0.4094  2 Al 3.33, 4 Pr 3.48-3.67
4 Pr 0.3137 0.3137 0.1243  2 Al 3.23, 5 Pr 3.48-3.58
5 Pr 0.6863 0.6863 0.8757  2 Al 3.23, 5 Pr 3.48-3.58
6 Pr 0.6890 0.6890 0.5906  2 Al 3.33, 4 Pr 3.48-3.67
7 Pr 0.9746 0.9746 0.6748  2 Al 3.21, 3 Pr 3.53-3.58
8 Al 0.3501 0.3501 0.8000  2 Pm 3.21, 6 Pr 3.21-3.33
9 Al 0.6499 0.6499 0.2000  2 Pm 3.21, 6 Pr 3.21-3.33

Properties
- VASP energy: -0.3437 Ry per atom
- Energy above the lowest structure with this stoichiometry: 0 meV per atom
- SG: C2/m
- Formation energy: -0.13 eV per atom